(1)
PBE B2C, relaxed; size of the total moment = 0.00 μB per formula unit; formation enthalpy at 0 K = 137 kJ/mol of formula units
1.0
2.474 0.000 0.000
0.000 5.104 -0.262
0.000 -0.355 6.725
B C
8 4
direct
0.500 0.563 0.225
0.500 0.206 0.953
0.000 0.630 0.634
0.000 0.286 0.582
0.000 0.388 0.355
0.000 0.040 0.337
0.000 0.965 0.939
0.500 0.094 0.687
0.500 0.847 0.347
0.500 0.520 0.980
0.000 0.647 0.896
0.500 0.815 0.565

***

(2)
PBE Sr2PbS2Br2, relaxed; raw formation energy = -1.418 eV per atom; size of the total moment = 0.00 μB per formula unit
1.0
5.499 0.000 0.000
0.000 5.499 0.000
-2.749 -2.749 7.866
Sr Pb S Br
2 1 2 2
direct
0.387 0.387 0.775
0.613 0.613 0.225
0.000 0.000 0.000
0.000 0.500 0.000
0.500 0.000 0.000
0.199 0.199 0.398
0.801 0.801 0.602

***

(3)
PBE VBIr, relaxed; size of the total moment = 0.00 μB per formula unit; formation enthalpy at 0 K = -48 kJ/mol of formula units
1.0
-0.090 -3.948 -0.442
0.890 0.639 3.819
-5.580 3.317 -2.287
B V Ir
2 2 2
direct
0.239 0.923 0.419
0.077 0.761 0.581
0.211 0.294 0.248
0.706 0.789 0.752
0.853 0.147 0.500
0.591 0.409 0.000

***

(4)
PBE CsNa2UI6, relaxed; raw formation energy = -1.080 eV per atom; size of the total moment = 3.00 μB per formula unit
1.0
10.954 0.861 0.893
4.483 9.728 2.549
4.483 2.187 9.815
Cs Na U I
2 4 2 12
direct
0.250 0.872 0.128
0.750 0.128 0.872
0.281 0.723 0.716
0.219 0.284 0.277
0.719 0.277 0.284
0.781 0.716 0.723
0.250 0.311 0.689
0.750 0.689 0.311
0.181 0.075 0.675
0.319 0.325 0.925
0.819 0.925 0.325
0.681 0.675 0.075
0.442 0.936 0.311
0.058 0.689 0.064
0.558 0.064 0.689
0.942 0.311 0.936
0.121 0.673 0.581
0.379 0.419 0.327
0.879 0.327 0.419
0.621 0.581 0.673

***

(5)
PBE Hg2Te2Br, relaxed; raw formation energy = 0.035 eV per atom; size of the total moment = 0.00 μB per formula unit
1.0
4.421 0.000 0.000
0.000 4.421 0.000
2.210 2.210 7.863
Te Hg Br
2 2 1
direct
0.750 0.250 0.500
0.250 0.750 0.500
0.411 0.411 0.178
0.589 0.589 0.822
0.000 0.000 0.000